[1]
Material: TbZnPdRh
Method: DFT, PBE
State: relaxed

V: 17.5 A^3/atom
DFT formation energy: -681 meV per atom

Cell lengths 4.6234, 4.6234, 4.6234 Å; angles 60.00, 60.00, 60.00 degrees
With the nearest neighbours (Å) after each atom.
Sites, in units of the cell vectors:
Tb 0.0000 0.0000 0.0000  4 Rh 2.83, 4 Pd 2.83
Zn 0.5000 0.5000 0.5000  4 Rh 2.83, 4 Pd 2.83
Pd 0.7500 0.7500 0.7500  4 Tb 2.83, 4 Zn 2.83
Rh 0.2500 0.2500 0.2500  4 Tb 2.83, 4 Zn 2.83

---

[2]
Material: CoOsS3
Method: DFT, PBE
State: relaxed

E above lowest polymorph: 0 meV per atom
formation energy (no corrections): 485 kJ/mol of formula units
V: 19.7 A^3/atom

Cell lengths 4.6169, 4.6169, 4.6169 Å; angles 90.00, 90.00, 90.00 degrees
With the nearest neighbours (Å) after each atom.
Sites, in units of the cell vectors:
Co 0.0000 0.0000 0.0000  12 S 3.26
Os 0.5000 0.5000 0.5000  6 S 2.31
S 0.0000 0.5000 0.5000  2 Os 2.31
S 0.5000 0.0000 0.5000  2 Os 2.31
S 0.5000 0.5000 0.0000  2 Os 2.31

---

[3]
Material: Cs3ZnSn
Method: DFT, PBE
State: relaxed

E above lowest polymorph: 0 meV per atom
V: 53.8 A^3/atom
DFT formation energy: 26 meV per atom

Cell lengths 8.7943, 8.7943, 9.0134 Å; angles 118.46, 118.46, 79.35 degrees
With the nearest neighbours (Å) after each atom.
Sites, in units of the cell vectors:
Cs 0.0577 0.0577 0.2863  2 Zn 3.94-4.04, 1 Sn 4.04, 5 Cs 4.31-4.37
Cs 0.0937 0.4837 0.8096  2 Zn 3.65-3.95
Cs 0.4837 0.0937 0.8096  2 Zn 3.65-3.95
Cs 0.5163 0.9063 0.1904  2 Zn 3.65-3.95
Cs 0.9063 0.5163 0.1904  2 Zn 3.65-3.95
Cs 0.9423 0.9423 0.7137  2 Zn 3.94-4.04, 1 Sn 4.04, 5 Cs 4.31-4.37
Zn 0.3038 0.3038 0.1886  2 Sn 2.78-2.89
Zn 0.6962 0.6962 0.8114  2 Sn 2.78-2.89
Sn 0.4357 0.4357 0.5922  2 Zn 2.78-2.89, 1 Sn 3.06
Sn 0.5643 0.5643 0.4078  2 Zn 2.78-2.89, 1 Sn 3.06

---

[4]
Material: Cu2SbS2
Method: DFT, PBE
State: relaxed

E above lowest polymorph: 228 meV per atom
formation energy (no corrections): 97 kJ/mol of formula units
V: 17.4 A^3/atom

Cell lengths 7.2523, 7.2523, 3.3059 Å; angles 90.00, 90.00, 90.00 degrees
With the nearest neighbours (Å) after each atom.
Sites, in units of the cell vectors:
Cu 0.1238 0.3762 0.0000  1 Cu 2.54, 6 S 2.67-2.73
Cu 0.3762 0.8762 0.0000  1 Cu 2.54, 6 S 2.67-2.73
Cu 0.6238 0.1238 0.0000  1 Cu 2.54, 6 S 2.67-2.73
Cu 0.8762 0.6238 0.0000  1 Cu 2.54, 6 S 2.67-2.73
Sb 0.0000 0.0000 0.5000  4 S 2.69
Sb 0.5000 0.5000 0.5000  4 S 2.69
S 0.1717 0.6717 0.5000  6 Cu 2.67-2.73, 2 Sb 2.69
S 0.3283 0.1717 0.5000  6 Cu 2.67-2.73, 2 Sb 2.69
S 0.6717 0.8283 0.5000  6 Cu 2.67-2.73, 2 Sb 2.69
S 0.8283 0.3283 0.5000  6 Cu 2.67-2.73, 2 Sb 2.69

---

[5]
Material: SrLi2Sb
Method: DFT, PBE
State: relaxed

formation energy (no corrections): -123 kJ/mol of formula units
V: 26.8 A^3/atom

Cell lengths 3.5345, 4.3873, 6.9147 Å; angles 90.00, 90.00, 90.00 degrees
With the nearest neighbours (Å) after each atom.
Sites, in units of the cell vectors:
Sr 0.0000 0.0000 0.0000  2 Sb 3.46, 2 Sr 3.53, 8 Li 3.55
Li 0.5000 0.5000 0.3114  1 Li 2.61
Li 0.5000 0.5000 0.6886  1 Li 2.61
Sb 0.0000 0.0000 0.5000  8 Li 3.10, 2 Sr 3.46

---

[6]
Material: KSmSc4Se8
Method: DFT, PBE
State: relaxed

formation energy (no corrections): -2140 kJ/mol of formula units
V: 28.8 A^3/atom

Cell lengths 8.4431, 8.4431, 8.4431 Å; angles 57.67, 57.67, 57.67 degrees
With the nearest neighbours (Å) after each atom.
Sites, in units of the cell vectors:
K 0.0000 0.0000 0.0000  4 Se 2.85-2.91
Sm 0.6409 0.6409 0.6409  6 Se 2.87-3.01
Sc 0.1204 0.6399 0.6399  6 Se 2.62-2.92
Sc 0.2632 0.2632 0.2632  4 Se 2.62-2.73
Sc 0.6399 0.1204 0.6399  6 Se 2.62-2.92
Sc 0.6399 0.6399 0.1204  6 Se 2.62-2.92
Se 0.3857 0.3857 0.8724  3 Sc 2.62-2.92
Se 0.3857 0.8724 0.3857  3 Sc 2.62-2.92
Se 0.3931 0.3931 0.3931  4 Sc 2.73-2.89
Se 0.4295 0.8834 0.8834  2 Sc 2.62, 1 Sm 2.87, 1 K 2.91
Se 0.8644 0.8644 0.8644  3 Sc 2.63, 1 K 2.85
Se 0.8724 0.3857 0.3857  3 Sc 2.62-2.92
Se 0.8834 0.4295 0.8834  2 Sc 2.62, 1 Sm 2.87, 1 K 2.91
Se 0.8834 0.8834 0.4295  2 Sc 2.62, 1 Sm 2.87, 1 K 2.91

---

[7]
Material: Pm7Sn3C2
Method: DFT, PBE
State: relaxed

V: 26.6 A^3/atom
DFT formation energy: -526 meV per atom

Cell lengths 12.8879, 12.8879, 4.9698 Å; angles 90.00, 90.00, 157.27 degrees
With the nearest neighbours (Å) after each atom.
Sites, in units of the cell vectors:
Pm 0.0000 0.0000 0.0000  2 C 2.58
Pm 0.0969 0.9031 0.5000  2 C 2.49
Pm 0.2007 0.7993 0.0000  1 C 2.49
Pm 0.3975 0.6025 0.0000  2 C 2.54
Pm 0.6025 0.3975 0.0000  2 C 2.54
Pm 0.7993 0.2007 0.0000  1 C 2.49
Pm 0.9031 0.0969 0.5000  2 C 2.49
Sn 0.3096 0.6904 0.5000  10 Pm 3.33-3.71
Sn 0.5000 0.5000 0.5000  12 Pm 3.53-3.59
Sn 0.6904 0.3096 0.5000  10 Pm 3.33-3.71
C 0.1022 0.8978 0.0000  6 Pm 2.49-2.58
C 0.8978 0.1022 0.0000  6 Pm 2.49-2.58

---

[8]
Material: SbHN2F
Method: DFT, PBE
State: relaxed

E above lowest polymorph: 76 meV per atom
V: 14.0 A^3/atom

Cell lengths 4.0501, 4.0501, 4.2762 Å; angles 90.00, 90.00, 90.00 degrees
With the nearest neighbours (Å) after each atom.
Sites, in units of the cell vectors:
Sb 0.0000 0.0000 0.0000  4 N 2.03, 2 F 2.14
H 0.5000 0.5000 0.5000  4 F 2.86, 8 N 2.94
N 0.0000 0.5000 0.0000  2 Sb 2.03
N 0.5000 0.0000 0.0000  2 Sb 2.03
F 0.0000 0.0000 0.5000  2 Sb 2.14

---

[9]
Material: PmBePd2
Method: DFT, PBE
State: relaxed

E above lowest polymorph: 83 meV per atom
V: 18.5 A^3/atom
DFT formation energy: -619 meV per atom

Cell lengths 5.5372, 5.5372, 5.5372 Å; angles 43.82, 43.82, 43.82 degrees
With the nearest neighbours (Å) after each atom.
Sites, in units of the cell vectors:
Pm 0.0000 0.0000 0.0000  8 Pd 3.02-3.15
Be 0.5000 0.5000 0.5000  6 Pd 2.47
Pd 0.2099 0.2099 0.2099  3 Be 2.47, 3 Pd 2.71
Pd 0.7901 0.7901 0.7901  3 Be 2.47, 3 Pd 2.71

---

[10]
Material: Nb2VPdS
Method: DFT, PBE
State: relaxed

formation energy (no corrections): 652 kJ/mol of formula units
V: 21.8 A^3/atom

Cell lengths 4.9026, 4.9026, 4.5371 Å; angles 90.00, 90.00, 90.00 degrees
With the nearest neighbours (Å) after each atom.
Sites, in units of the cell vectors:
Nb 0.0000 0.5000 0.0000  2 Pd 2.45
Nb 0.5000 0.0000 0.0000  2 Pd 2.45
V 0.0000 0.0000 0.5000  2 Pd 2.27
Pd 0.0000 0.0000 0.0000  2 V 2.27, 4 Nb 2.45
S 0.5000 0.5000 0.5000  8 Nb 3.34, 4 V 3.47

---

[11]
Material: Ac4Te2OsSe
Method: DFT, PBE
State: relaxed

formation energy (no corrections): -923 kJ/mol of formula units
V: 34.9 A^3/atom

Cell lengths 7.9758, 4.4787, 8.1838 Å; angles 90.00, 107.09, 90.00 degrees
With the nearest neighbours (Å) after each atom.
Sites, in units of the cell vectors:
Ac 0.2213 0.0000 0.2112  2 Os 3.05, 1 Se 3.19, 1 Te 3.34
Ac 0.2357 0.5000 0.7823  1 Os 2.95, 2 Se 3.23
Ac 0.7643 0.5000 0.2177  1 Os 2.95, 2 Se 3.23
Ac 0.7787 0.0000 0.7888  2 Os 3.05, 1 Se 3.19, 1 Te 3.34
Te 0.0000 0.0000 0.5000  6 Ac 3.34-3.37
Te 0.5000 0.5000 0.5000  6 Ac 3.53-3.56
Os 0.0000 0.5000 0.0000  6 Ac 2.95-3.05
Se 0.5000 0.0000 0.0000  6 Ac 3.19-3.23

---

[12]
Material: CaGd2Sc
Method: DFT, PBE
State: relaxed

E above lowest polymorph: 92 meV per atom
V: 32.2 A^3/atom
DFT formation energy: 157 meV per atom

Cell lengths 5.0902, 5.0902, 4.9634 Å; angles 90.00, 90.00, 90.00 degrees
With the nearest neighbours (Å) after each atom.
Sites, in units of the cell vectors:
Ca 0.0000 0.0000 0.0000  8 Gd 3.55, 4 Sc 3.60
Gd 0.0000 0.5000 0.5000  4 Ca 3.55, 4 Sc 3.55, 4 Gd 3.60
Gd 0.5000 0.0000 0.5000  4 Ca 3.55, 4 Sc 3.55, 4 Gd 3.60
Sc 0.5000 0.5000 0.0000  8 Gd 3.55, 4 Ca 3.60

---

What is the formula in the second record? CoOsS3

---

V of number 4 (Cu2SbS2)? 17.4 A^3/atom

---

Number 3 is which compound? Cs3ZnSn